Entry 1:
Here is crystalline DyEr2Hg at its relaxed geometry from OQMD via LeMat-Bulk. Energies are from PBE.

Geometry as POSCAR:
```
DyEr2Hg
1.0
5.084 0.000 0.000
0.000 5.280 4.116
0.000 -5.280 4.116
Dy Er Hg
2 4 2
direct
0.250 0.114 0.886
0.750 0.886 0.114
0.250 0.181 0.401
0.250 0.693 0.467
0.750 0.401 0.181
0.750 0.467 0.693
0.250 0.614 0.964
0.750 0.964 0.614
```

- offset from the most stable computed form (kJ per mole of atoms) = 0.0
- energy of formation (eV/f.u.) = -0.80

---

Entry 2:
Here is crystalline Dy3Er2Hg3 at its relaxed geometry from OQMD via LeMat-Bulk. Energies are from PBE.

Geometry as POSCAR:
```
Dy3Er2Hg3
1.0
6.516 0.000 0.000
0.000 5.297 0.000
-2.401 0.000 6.116
Dy Er Hg
3 2 3
direct
0.000 0.000 0.000
0.213 0.500 0.289
0.746 0.500 0.347
0.272 0.500 0.807
0.521 0.000 0.573
0.028 0.000 0.501
0.500 0.000 0.081
0.756 0.500 0.837
```

- offset from the most stable computed form (kJ per mole of atoms) = 0.0
- energy of formation (eV/f.u.) = -2.18

---

Entry 3:
Here is crystalline DyErHg6 at its relaxed geometry from OQMD via LeMat-Bulk. Energies are from PBE.

Geometry as POSCAR:
```
DyErHg6
1.0
4.861 0.000 0.000
0.000 3.527 5.446
0.000 -3.527 5.446
Dy Er Hg
1 1 6
direct
0.000 0.000 0.000
0.500 0.285 0.285
0.000 0.467 0.467
0.000 0.505 0.966
0.000 0.966 0.505
0.500 0.321 0.780
0.500 0.780 0.321
0.500 0.817 0.817
```

- offset from the most stable computed form (kJ per mole of atoms) = 0.9
- energy of formation (eV/f.u.) = -2.60

---

Entry 4:
Here is crystalline DyEr6Hg at its relaxed geometry from OQMD via LeMat-Bulk. Energies are from PBE.

Geometry as POSCAR:
```
DyEr6Hg
1.0
6.988 0.000 0.000
-3.494 6.051 0.000
0.000 0.000 5.496
Dy Er Hg
1 6 1
direct
0.000 0.000 0.000
0.004 0.502 0.000
0.325 0.163 0.500
0.498 0.502 0.000
0.498 0.996 0.000
0.837 0.163 0.500
0.837 0.675 0.500
0.333 0.667 0.500
```

- energy of formation (eV/f.u.) = -0.27

---

Entry 5:
Here is crystalline DyEr2Hg at its relaxed geometry from OQMD via LeMat-Bulk. Energies are from PBE.

Geometry as POSCAR:
```
DyEr2Hg
1.0
5.388 0.000 0.000
0.000 3.623 5.640
0.000 -3.623 5.640
Dy Er Hg
2 4 2
direct
0.000 0.000 0.000
0.500 0.310 0.310
0.000 0.492 0.997
0.000 0.501 0.501
0.000 0.997 0.492
0.500 0.807 0.807
0.500 0.319 0.815
0.500 0.815 0.319
```

- offset from the most stable computed form (kJ per mole of atoms) = 9.2
- energy of formation (eV/f.u.) = -0.42

---

Entry 6:
Here is crystalline Dy2ErHg5 at its relaxed geometry from OQMD via LeMat-Bulk. Energies are from PBE.

Geometry as POSCAR:
```
Dy2ErHg5
1.0
5.117 0.000 0.000
0.000 3.669 5.220
0.000 -3.669 5.220
Dy Er Hg
2 1 5
direct
0.000 0.000 0.000
0.500 0.298 0.298
0.000 0.557 0.557
0.000 0.053 0.498
0.000 0.498 0.053
0.500 0.298 0.800
0.500 0.796 0.796
0.500 0.800 0.298
```

- energy of formation (eV/f.u.) = -3.36

---

Entry 7:
Here is crystalline Dy5Er2Hg at its relaxed geometry from OQMD via LeMat-Bulk. Energies are from PBE.

Geometry as POSCAR:
```
Dy5Er2Hg
1.0
5.518 0.000 0.000
0.000 3.509 6.080
0.000 -3.509 6.080
Dy Er Hg
5 2 1
direct
0.000 0.000 0.000
0.000 0.502 0.993
0.000 0.993 0.502
0.500 0.162 0.674
0.500 0.674 0.162
0.000 0.502 0.502
0.500 0.162 0.162
0.500 0.666 0.666
```

- energy of formation (eV/f.u.) = -0.29

---

Entry 8:
Here is crystalline Dy2ErMg3Tl2Hg at its relaxed geometry from OQMD via LeMat-Bulk. Energies are from PBE.

Geometry as POSCAR:
```
Dy2ErMg3Tl2Hg
1.0
4.591 0.000 0.000
0.000 6.487 3.759
0.000 -6.487 3.759
Dy Er Mg Tl Hg
2 1 3 2 1
direct
0.000 0.211 0.789
0.000 0.789 0.211
0.000 0.631 0.631
0.500 0.211 0.450
0.500 0.450 0.211
0.500 0.972 0.972
0.500 0.545 0.876
0.500 0.876 0.545
0.000 0.213 0.213
```

- raw total energy (eV per atom) = -2.971

---

Entry 9:
Here is crystalline DyEr2Mg3Tl2Hg at its relaxed geometry from OQMD via LeMat-Bulk. Energies are from PBE.

Geometry as POSCAR:
```
DyEr2Mg3Tl2Hg
1.0
4.584 0.000 0.000
0.000 6.501 3.739
0.000 -6.501 3.739
Dy Er Mg Tl Hg
1 2 3 2 1
direct
0.000 0.000 0.000
0.000 0.422 0.844
0.000 0.844 0.422
0.500 0.184 0.423
0.500 0.423 0.184
0.500 0.661 0.661
0.500 0.089 0.755
0.500 0.755 0.089
0.000 0.424 0.424
```

- raw total energy (eV per atom) = -2.960

---

Entry 10:
Here is crystalline Dy3Ho3Er2 at its relaxed geometry from OQMD via LeMat-Bulk. Energies are from PBE.

Geometry as POSCAR:
```
Dy3Ho3Er2
1.0
7.171 0.000 0.000
-3.586 6.210 0.000
0.000 0.000 5.591
Dy Ho Er
3 3 2
direct
0.000 0.500 0.000
0.500 0.000 0.000
0.500 0.500 0.000
0.167 0.333 0.500
0.167 0.833 0.500
0.667 0.833 0.500
0.000 0.000 0.000
0.667 0.333 0.500
```

- energy of formation (eV/f.u.) = 0.03

---

Entry 11:
Here is crystalline Dy3Ho2Er3 at its relaxed geometry from OQMD via LeMat-Bulk. Energies are from PBE.

Geometry as POSCAR:
```
Dy3Ho2Er3
1.0
7.178 0.000 0.000
-3.589 6.217 0.000
0.000 0.000 5.575
Dy Ho Er
3 2 3
direct
0.000 0.500 0.000
0.500 0.000 0.000
0.500 0.500 0.000
0.000 0.000 0.000
0.333 0.667 0.500
0.334 0.167 0.500
0.833 0.167 0.500
0.833 0.666 0.500
```

- energy of formation (eV/f.u.) = 0.03

---

Entry 12:
Here is crystalline DyHoEr at its relaxed geometry from OQMD via LeMat-Bulk. Energies are from PBE.

Geometry as POSCAR:
```
DyHoEr
1.0
0.000 3.796 3.796
3.796 0.000 3.796
3.796 3.796 0.000
Dy Ho Er
1 1 1
direct
0.000 0.000 0.000
0.500 0.500 0.500
0.250 0.250 0.250
```

- offset from the most stable computed form (kJ per mole of atoms) = 0.0
- energy of formation (eV/f.u.) = 2.17

---

Entry 13:
Here is crystalline DyHoEr6 at its relaxed geometry from OQMD via LeMat-Bulk. Energies are from PBE.

Geometry as POSCAR:
```
DyHoEr6
1.0
7.146 0.000 0.000
-3.573 6.188 0.000
0.000 0.000 5.557
Dy Ho Er
1 1 6
direct
0.000 0.000 0.000
0.667 0.333 0.500
0.002 0.501 0.000
0.168 0.335 0.500
0.168 0.832 0.500
0.499 0.501 0.000
0.499 0.998 0.000
0.665 0.832 0.500
```

- energy of formation (eV/f.u.) = 0.01

---

Entry 14:
Here is crystalline DyHoEr2In2 at its relaxed geometry from OQMD via LeMat-Bulk. Energies are from PBE.

Geometry as POSCAR:
```
DyHoEr2In2
1.0
5.360 0.000 0.000
-2.680 4.642 0.000
0.000 0.000 6.693
Dy Ho Er In
1 1 2 2
direct
0.000 0.000 0.000
0.667 0.333 0.500
0.333 0.667 0.250
0.333 0.667 0.750
0.000 0.000 0.500
0.667 0.333 0.000
```

- raw total energy (eV per atom) = -4.314

---

Entry 15:
Here is crystalline DyHoErIn at its relaxed geometry from OQMD via LeMat-Bulk. Energies are from PBE.

Geometry as POSCAR:
```
DyHoErIn
1.0
4.811 0.000 0.000
0.000 4.812 0.000
0.000 0.000 4.820
Dy Ho Er In
1 1 1 1
direct
0.000 0.000 0.000
0.500 0.000 0.500
0.000 0.500 0.500
0.500 0.500 0.000
```

- raw total energy (eV per atom) = -4.385

---

Entry 16:
Here is crystalline Dy2HoErMg2 at its relaxed geometry from OQMD via LeMat-Bulk. Energies are from PBE.

Geometry as POSCAR:
```
Dy2HoErMg2
1.0
5.446 0.000 0.000
0.000 1.821 8.580
0.000 -1.821 8.580
Dy Ho Er Mg
2 1 1 2
direct
0.000 0.000 0.000
0.500 0.187 0.187
0.000 0.320 0.320
0.500 0.867 0.867
0.000 0.659 0.659
0.500 0.528 0.528
```

- raw total energy (eV per atom) = -3.632

---

Entry 17:
Here is crystalline DyHo3Er2Sb2Os at its relaxed geometry from OQMD via LeMat-Bulk. Energies are from PBE.

Geometry as POSCAR:
```
DyHo3Er2Sb2Os
1.0
4.199 0.000 0.000
0.000 7.053 4.081
0.000 -7.053 4.081
Dy Ho Er Sb Os
1 3 2 2 1
direct
0.000 0.000 0.000
0.500 0.157 0.394
0.500 0.394 0.157
0.500 0.632 0.632
0.000 0.393 0.785
0.000 0.785 0.393
0.500 0.060 0.726
0.500 0.726 0.060
0.000 0.397 0.397
```

- raw total energy (eV per atom) = -5.879

---

Entry 18:
Here is crystalline Dy2Ho3ErSb2Os at its relaxed geometry from OQMD via LeMat-Bulk. Energies are from PBE.

Geometry as POSCAR:
```
Dy2Ho3ErSb2Os
1.0
4.205 0.000 0.000
0.000 7.076 4.077
0.000 -7.076 4.077
Dy Ho Er Sb Os
2 3 1 2 1
direct
0.000 0.197 0.803
0.000 0.803 0.197
0.500 0.039 0.039
0.500 0.565 0.803
0.500 0.803 0.565
0.000 0.411 0.411
0.500 0.137 0.470
0.500 0.470 0.137
0.000 0.800 0.800
```

- raw total energy (eV per atom) = -5.889

---

Entry 19:
Here is crystalline Dy2HoErPd4 at its relaxed geometry from OQMD via LeMat-Bulk. Energies are from PBE.

Geometry as POSCAR:
```
Dy2HoErPd4
1.0
4.928 0.000 0.000
0.000 4.928 0.000
0.000 0.000 6.960
Dy Ho Er Pd
2 1 1 4
direct
0.000 0.000 0.000
0.500 0.500 0.500
0.000 0.000 0.500
0.500 0.500 0.000
0.000 0.500 0.250
0.000 0.500 0.750
0.500 0.000 0.250
0.500 0.000 0.750
```

- energy of formation (eV/f.u.) = -7.28

---

Entry 20:
Here is crystalline Dy2HoErPt4 at its relaxed geometry from OQMD via LeMat-Bulk. Energies are from PBE.

Geometry as POSCAR:
```
Dy2HoErPt4
1.0
4.907 0.000 0.000
0.000 4.907 0.000
0.000 0.000 6.942
Dy Ho Er Pt
2 1 1 4
direct
0.000 0.000 0.000
0.500 0.500 0.500
0.000 0.000 0.500
0.500 0.500 0.000
0.000 0.500 0.250
0.000 0.500 0.750
0.500 0.000 0.250
0.500 0.000 0.750
```

- energy of formation (eV/f.u.) = -9.85